A plane-wave DFT calculation with PBE was carried out for TbBe4Ir2Pt after structural relaxation.

**Energy relative to the elements**: -0.602 eV per atom
**N(E_F)**: 2.0 states/eV per cell
**Symmetry**: R-3m, No. 166
**Mass density**: 11.946 g/cm3
**Magnetization**: 0.00 Bohr magnetons per cell
**Energy**: -6.014 eV per atom

Unit cell a=3.9153 b=3.9153 c=8.4189 alpha=76.55 beta=76.55 gamma=60.00
Positions (direct):
Tb: 0.0000 0.0000 0.0000
Be: 0.4074 0.4074 0.7777
Be: 0.8711 0.8711 0.3867
Be: 0.1289 0.1289 0.6133
Be: 0.5926 0.5926 0.2223
Ir: 0.7593 0.7593 0.7222
Ir: 0.2407 0.2407 0.2778
Pt: 0.5000 0.5000 0.5000